## CoRe2 (GGA-PBE)

Data for a relaxed structure of CoRe2.

Cell: 4.6558 4.6558 4.6558 Å, 147.08 130.94 60.35°
Closest atoms and distances in Å follow each position.
Sites, in units of the cell vectors:
Co: 0.0000 0.0000 0.0000  2 Co 2.64, 10 Re 2.68-2.71
Re: 0.3371 0.3371 0.0000  7 Re 2.62-2.73, 5 Co 2.68-2.71
Re: 0.6629 0.6629 0.0000  7 Re 2.62-2.73, 5 Co 2.68-2.71

Values from the calculation:
symmetry: Immm
energy relative to the lowest polymorph listed for this composition: 9.6 kJ per mole of atoms
calculated total energy: -10.591 eV/atom

=====

## Co3Re (GGA-PBE)

Data for a relaxed structure of Co3Re.

Cell: 2.6018 2.6018 6.9968 Å, 90.00 90.00 90.00°
Closest atoms and distances in Å follow each position.
Sites, in units of the cell vectors:
Co: 0.0000 0.0000 0.0000  12 Co 2.47-2.60
Co: 0.5000 0.5000 0.2354  8 Co 2.47-2.60, 4 Re 2.61
Co: 0.5000 0.5000 0.7646  8 Co 2.47-2.60, 4 Re 2.61
Re: 0.0000 0.0000 0.5000  4 Re 2.60, 8 Co 2.61

Values from the calculation:
symmetry: P4/mmm
calculated total energy: -8.370 eV/atom

=====

## Co3Re (GGA-PBE)

Data for a relaxed structure of Co3Re.

Cell: 2.9197 2.9197 5.5519 Å, 90.00 90.00 90.00°
Closest atoms and distances in Å follow each position.
Sites, in units of the cell vectors:
Co: 0.0000 0.0000 0.0000  8 Co 2.41
Co: 0.5000 0.5000 0.2240  5 Co 2.41-2.49, 4 Re 2.57
Co: 0.5000 0.5000 0.7760  5 Co 2.41-2.49, 4 Re 2.57
Re: 0.0000 0.0000 0.5000  10 Co 2.57-2.78

Values from the calculation:
symmetry: P4/mmm
calculated total energy: -8.256 eV/atom

=====

## Co3Re (GGA-PBE)

Data for a relaxed structure of Co3Re.

Cell: 4.4397 8.2860 5.1456 Å, 90.00 90.00 90.00°
Closest atoms and distances in Å follow each position.
Sites, in units of the cell vectors:
Co: 0.0836 0.2500 0.1326  4 Re 2.49-2.66, 8 Co 2.53-2.56
Co: 0.2444 0.5009 0.8773  9 Co 2.51-2.60, 3 Re 2.52-2.58
Co: 0.2444 0.9991 0.8773  9 Co 2.51-2.60, 3 Re 2.52-2.58
Co: 0.2556 0.0009 0.3773  9 Co 2.51-2.60, 3 Re 2.52-2.58
Co: 0.2556 0.4991 0.3773  9 Co 2.51-2.60, 3 Re 2.52-2.58
Co: 0.4164 0.7500 0.6326  4 Re 2.49-2.66, 8 Co 2.53-2.56
Co: 0.5836 0.2500 0.3674  4 Re 2.49-2.66, 8 Co 2.53-2.56
Co: 0.7444 0.5009 0.6227  9 Co 2.51-2.60, 3 Re 2.52-2.58
Co: 0.7444 0.9991 0.6227  9 Co 2.51-2.60, 3 Re 2.52-2.58
Co: 0.7556 0.0009 0.1227  9 Co 2.51-2.60, 3 Re 2.52-2.58
Co: 0.7556 0.4991 0.1227  9 Co 2.51-2.60, 3 Re 2.52-2.58
Co: 0.9164 0.7500 0.8674  4 Re 2.49-2.66, 8 Co 2.53-2.56
Re: 0.0810 0.2500 0.6160  10 Co 2.49-2.66, 2 Re 2.61
Re: 0.4190 0.7500 0.1160  10 Co 2.49-2.66, 2 Re 2.61
Re: 0.5810 0.2500 0.8840  10 Co 2.49-2.66, 2 Re 2.61
Re: 0.9190 0.7500 0.3840  10 Co 2.49-2.66, 2 Re 2.61

Values from the calculation:
symmetry: Pnma
calculated total energy: -8.351 eV/atom

=====

## CoRe2 (GGA-PBE)

Data for a relaxed structure of CoRe2.

Cell: 7.1784 7.1784 4.3057 Å, 90.00 90.00 158.47°
Closest atoms and distances in Å follow each position.
Sites, in units of the cell vectors:
Co: 0.1098 0.8902 0.7500  10 Re 2.66-2.73, 2 Co 2.68
Co: 0.8902 0.1098 0.2500  10 Re 2.66-2.73, 2 Co 2.68
Re: 0.2218 0.7782 0.2500  8 Re 2.66-2.73, 4 Co 2.67-2.73
Re: 0.4471 0.5529 0.7500  6 Re 2.62-2.73, 6 Co 2.66
Re: 0.5529 0.4471 0.2500  6 Re 2.62-2.73, 6 Co 2.66
Re: 0.7782 0.2218 0.7500  8 Re 2.66-2.73, 4 Co 2.67-2.73

Values from the calculation:
symmetry: Cmcm
energy relative to the lowest polymorph listed for this composition: 1.4 kJ per mole of atoms
calculated total energy: -10.675 eV/atom

=====

## Co5Re3 (GGA-PBE)

Data for a relaxed structure of Co5Re3.

Cell: 4.4935 6.5695 6.9637 Å, 85.44 86.37 73.01°
Closest atoms and distances in Å follow each position.
Sites, in units of the cell vectors:
Co: 0.0550 0.1800 0.1247  4 Co 2.40-2.49, 6 Re 2.40-2.62
Co: 0.2044 0.7910 0.1859  6 Co 2.44-2.70, 4 Re 2.50-2.72
Co: 0.2485 0.4199 0.2897  4 Co 2.40-2.57, 4 Re 2.51-2.59
Co: 0.2530 0.0245 0.4330  6 Co 2.31-2.58, 3 Re 2.41-2.49
Co: 0.2600 0.2914 0.6280  5 Co 2.31-2.58, 5 Re 2.41-2.58
Co: 0.7400 0.7086 0.3720  5 Co 2.31-2.58, 5 Re 2.41-2.58
Co: 0.7470 0.9755 0.5670  6 Co 2.31-2.58, 3 Re 2.41-2.49
Co: 0.7515 0.5801 0.7103  4 Co 2.40-2.57, 4 Re 2.51-2.59
Co: 0.7956 0.2090 0.8141  6 Co 2.44-2.70, 4 Re 2.50-2.72
Co: 0.9450 0.8200 0.8753  4 Co 2.40-2.49, 6 Re 2.40-2.62
Re: 0.2366 0.6742 0.5547  10 Co 2.41-2.62
Re: 0.2821 0.4498 0.9255  5 Co 2.41-2.57, 2 Re 2.54-2.60
Re: 0.3816 0.9636 0.8454  6 Co 2.40-2.67, 1 Re 2.60
Re: 0.6184 0.0364 0.1546  6 Co 2.40-2.67, 1 Re 2.60
Re: 0.7179 0.5502 0.0745  5 Co 2.41-2.57, 2 Re 2.54-2.60
Re: 0.7634 0.3258 0.4453  10 Co 2.41-2.62

Values from the calculation:
symmetry: P-1
energy relative to the lowest polymorph listed for this composition: 7.0 kJ per mole of atoms
calculated total energy: -8.963 eV/atom

=====

## CoRe2 (GGA-PBE)

Data for a relaxed structure of CoRe2.

Cell: 4.2006 4.2006 5.2794 Å, 90.00 90.00 120.00°
Closest atoms and distances in Å follow each position.
Sites, in units of the cell vectors:
Co: 0.3333 0.6667 0.2500  5 Re 2.43-2.64
Co: 0.6667 0.3333 0.7500  5 Re 2.43-2.64
Re: 0.0000 0.0000 0.0000  8 Re 2.64-2.76, 6 Co 2.76
Re: 0.0000 0.0000 0.5000  8 Re 2.64-2.76, 6 Co 2.76
Re: 0.3333 0.6667 0.7500  5 Co 2.43-2.64
Re: 0.6667 0.3333 0.2500  5 Co 2.43-2.64

Values from the calculation:
symmetry: P6_3/mmc
energy relative to the lowest polymorph listed for this composition: 3.9 kJ per mole of atoms
calculated total energy: -10.650 eV/atom

=====

## Co5Re4 (GGA-PBE)

Data for a relaxed structure of Co5Re4.

Cell: 5.8254 5.8254 5.8254 Å, 95.69 95.69 143.31°
Closest atoms and distances in Å follow each position.
Sites, in units of the cell vectors:
Co: 0.0000 0.0000 0.0000  4 Re 2.52, 8 Co 2.61
Co: 0.3321 0.3321 0.6642  6 Re 2.56-2.60, 6 Co 2.58-2.63
Co: 0.3321 0.6679 0.0000  6 Re 2.56-2.60, 6 Co 2.58-2.63
Co: 0.6679 0.3321 0.0000  6 Re 2.56-2.60, 6 Co 2.58-2.63
Co: 0.6679 0.6679 0.3358  6 Re 2.56-2.60, 6 Co 2.58-2.63
Re: 0.0000 0.3221 0.3221  7 Co 2.52-2.60, 5 Re 2.69-2.78
Re: 0.0000 0.6779 0.6779  7 Co 2.52-2.60, 5 Re 2.69-2.78
Re: 0.3221 0.0000 0.3221  7 Co 2.52-2.60, 5 Re 2.69-2.78
Re: 0.6779 0.0000 0.6779  7 Co 2.52-2.60, 5 Re 2.69-2.78

Values from the calculation:
symmetry: I4/mmm
energy relative to the lowest polymorph listed for this composition: 0.0 kJ per mole of atoms
calculated total energy: -9.388 eV/atom

=====

## CoRe2 (GGA-PBE)

Data for a relaxed structure of CoRe2.

Cell: 5.9145 5.9145 5.9145 Å, 153.74 153.74 37.48°
Closest atoms and distances in Å follow each position.
Sites, in units of the cell vectors:
Co: 0.0000 0.0000 0.0000  8 Re 2.60, 4 Co 2.69
Re: 0.3410 0.3410 0.0000  4 Co 2.60, 8 Re 2.69-2.79
Re: 0.6590 0.6590 0.0000  4 Co 2.60, 8 Re 2.69-2.79

Values from the calculation:
symmetry: I4/mmm
energy relative to the lowest polymorph listed for this composition: 12.6 kJ per mole of atoms
calculated total energy: -10.560 eV/atom

=====

## CoRe5 (GGA-PBE)

Data for a relaxed structure of CoRe5.

Cell: 5.1897 5.1897 6.4447 Å, 103.89 103.89 30.73°
Closest atoms and distances in Å follow each position.
Sites, in units of the cell vectors:
Co: 0.0000 0.0000 0.0000  10 Re 2.63-2.73, 2 Co 2.75
Re: 0.0537 0.0537 0.6149  11 Re 2.65-2.78, 1 Co 2.67
Re: 0.3378 0.3378 0.6681  10 Re 2.65-2.81, 2 Co 2.72
Re: 0.3942 0.3942 0.2676  2 Co 2.63, 10 Re 2.63-2.79
Re: 0.6636 0.6636 0.3262  10 Re 2.63-2.81, 2 Co 2.70
Re: 0.7204 0.7204 0.9454  9 Re 2.65-2.75, 3 Co 2.70-2.73

Values from the calculation:
symmetry: Cm
energy relative to the lowest polymorph listed for this composition: 1.6 kJ per mole of atoms
calculated total energy: -11.542 eV/atom

=====

## Co3Re (GGA-PBE)

Data for a relaxed structure of Co3Re.

Cell: 4.5439 4.5439 4.5439 Å, 90.00 90.00 90.00°
Closest atoms and distances in Å follow each position.
Sites, in units of the cell vectors:
Co: 0.0000 0.2500 0.5000  2 Co 2.27, 4 Re 2.54
Co: 0.0000 0.7500 0.5000  2 Co 2.27, 4 Re 2.54
Co: 0.2500 0.5000 0.0000  2 Co 2.27, 4 Re 2.54
Co: 0.5000 0.0000 0.2500  2 Co 2.27, 4 Re 2.54
Co: 0.5000 0.0000 0.7500  2 Co 2.27, 4 Re 2.54
Co: 0.7500 0.5000 0.0000  2 Co 2.27, 4 Re 2.54
Re: 0.0000 0.0000 0.0000  12 Co 2.54
Re: 0.5000 0.5000 0.5000  12 Co 2.54

Values from the calculation:
symmetry: Pm-3n
calculated total energy: -8.303 eV/atom

=====

## CoRe2 (GGA-PBE)

Data for a relaxed structure of CoRe2.

Cell: 4.6836 4.6836 4.2754 Å, 90.00 90.00 59.88°
Closest atoms and distances in Å follow each position.
Sites, in units of the cell vectors:
Co: 0.1558 0.8442 0.7500  2 Co 2.59, 10 Re 2.63-2.75
Co: 0.8442 0.1558 0.2500  2 Co 2.59, 10 Re 2.63-2.75
Re: 0.1666 0.5066 0.2500  5 Co 2.63-2.75, 7 Re 2.65-2.73
Re: 0.4934 0.8334 0.2500  5 Co 2.63-2.75, 7 Re 2.65-2.73
Re: 0.5066 0.1666 0.7500  5 Co 2.63-2.75, 7 Re 2.65-2.73
Re: 0.8334 0.4934 0.7500  5 Co 2.63-2.75, 7 Re 2.65-2.73

Values from the calculation:
symmetry: Cmcm
energy relative to the lowest polymorph listed for this composition: 0.0 kJ per mole of atoms
calculated total energy: -10.690 eV/atom